Below is Hf2AsSeS after structural relaxation, with properties calculated at the PBEsol level.

Values from the calculation:
space-group type: P4/mmm, No. 123
E_form (uncorrected): 0.386 eV/atom

Cell: 4.4584 4.9745 4.9745 Å, 90.00 90.00 90.00°
With the nearest neighbours (Å) after each atom.
Atoms (fractional coordinates):
Hf 0.0000 0.5000 0.0000  2 Se 2.49
Hf 0.0000 0.0000 0.5000  2 Se 2.49
Se 0.0000 0.0000 0.0000  2 S 2.23, 4 Hf 2.49
S 0.5000 0.0000 0.0000  2 Se 2.23
As 0.5000 0.5000 0.5000  8 Hf 3.34, 4 S 3.52



Below is Pr3Ru after structural relaxation, with properties calculated at the PBEsol level.

Values from the calculation:
space-group type: Pnma, No. 62
calculated formation energy: -120 meV/atom

Cell: 6.3909 7.3294 9.7216 Å, 90.00 90.00 90.00°
With the nearest neighbours (Å) after each atom.
Atoms (fractional coordinates):
Pr 0.3305 0.6764 0.0669  2 Ru 2.87-2.92
Pr 0.6695 0.3236 0.9331  2 Ru 2.87-2.92
Pr 0.1695 0.1764 0.4331  2 Ru 2.87-2.92
Pr 0.1457 0.4591 0.7500  2 Ru 2.84-2.88
Pr 0.6695 0.3236 0.5669  2 Ru 2.87-2.92
Pr 0.8305 0.8236 0.5669  2 Ru 2.87-2.92
Pr 0.8305 0.8236 0.9331  2 Ru 2.87-2.92
Pr 0.1695 0.1764 0.0669  2 Ru 2.87-2.92
Pr 0.3543 0.9591 0.7500  2 Ru 2.84-2.88
Pr 0.3305 0.6764 0.4331  2 Ru 2.87-2.92
Pr 0.6457 0.0409 0.2500  2 Ru 2.84-2.88
Pr 0.8543 0.5409 0.2500  2 Ru 2.84-2.88
Ru 0.9411 0.1154 0.7500  6 Pr 2.84-2.92
Ru 0.4411 0.3846 0.2500  6 Pr 2.84-2.92
Ru 0.0589 0.8846 0.2500  6 Pr 2.84-2.92
Ru 0.5589 0.6154 0.7500  6 Pr 2.84-2.92



Below is TiCrOsW2 after structural relaxation, with properties calculated at the PBEsol level.

Values from the calculation:
space-group type: P4/mmm, No. 123
calculated formation energy: 1716 meV/atom

Cell: 4.3787 4.7295 4.7295 Å, 90.00 90.00 90.00°
With the nearest neighbours (Å) after each atom.
Atoms (fractional coordinates):
Ti 0.5000 0.5000 0.5000  8 W 3.22, 4 Cr 3.34
W 0.0000 0.0000 0.5000  2 Os 2.36
W 0.0000 0.5000 0.0000  2 Os 2.36
Cr 0.5000 0.0000 0.0000  2 Os 2.19
Os 0.0000 0.0000 0.0000  2 Cr 2.19, 4 W 2.36



Below is Cr3CuC after structural relaxation, with properties calculated at the PBEsol level.

Values from the calculation:
space-group type: Pm-3m, No. 221
calculated formation energy: 2605 meV/atom

Cell: 4.3639 4.3639 4.3639 Å, 90.00 90.00 90.00°
With the nearest neighbours (Å) after each atom.
Atoms (fractional coordinates):
C 0.5000 0.5000 0.5000  12 Cr 3.09
Cr 0.0000 0.0000 0.5000  2 Cu 2.18
Cr 0.5000 0.0000 0.0000  2 Cu 2.18
Cr 0.0000 0.5000 0.0000  2 Cu 2.18
Cu 0.0000 0.0000 0.0000  6 Cr 2.18



Below is LaFe3Rh after structural relaxation, with properties calculated at the PBEsol level.

Values from the calculation:
space-group type: Pm-3m, No. 221
calculated formation energy: 693 meV/atom

Cell: 4.6052 4.6052 4.6052 Å, 90.00 90.00 90.00°
With the nearest neighbours (Å) after each atom.
Atoms (fractional coordinates):
Fe 0.0000 0.5000 0.0000  2 Rh 2.30
Fe 0.5000 0.0000 0.0000  2 Rh 2.30
Fe 0.0000 0.0000 0.5000  2 Rh 2.30
Rh 0.0000 0.0000 0.0000  6 Fe 2.30
La 0.5000 0.5000 0.5000  12 Fe 3.26



Below is HoInCu2 after structural relaxation, with properties calculated at the PBEsol level.

Values from the calculation:
space-group type: Fm-3m, No. 225
calculated formation energy: -354 meV/atom

Cell: 4.5941 4.5941 4.5941 Å, 60.00 60.00 60.00°
With the nearest neighbours (Å) after each atom.
Atoms (fractional coordinates):
Cu 0.2500 0.2500 0.2500  4 In 2.81, 4 Ho 2.81
Cu 0.7500 0.7500 0.7500  4 In 2.81, 4 Ho 2.81
Ho 0.5000 0.5000 0.5000  8 Cu 2.81
In 0.0000 0.0000 0.0000  8 Cu 2.81



Below is Fe23C6 after structural relaxation, with properties calculated at the PBEsol level.

Values from the calculation:
space-group type: Fm-3m, No. 225
calculated formation energy: -3 meV/atom

Cell: 7.2732 7.2732 7.2732 Å, 60.00 60.00 60.00°
With the nearest neighbours (Å) after each atom.
Atoms (fractional coordinates):
C 0.7237 0.2763 0.2763  8 Fe 2.02-2.06
C 0.7237 0.2763 0.7237  8 Fe 2.02-2.06
C 0.2763 0.7237 0.7237  8 Fe 2.02-2.06
C 0.2763 0.2763 0.7237  8 Fe 2.02-2.06
C 0.7237 0.7237 0.2763  8 Fe 2.02-2.06
C 0.2763 0.7237 0.2763  8 Fe 2.02-2.06
Fe 0.6617 0.0000 0.0000  2 C 2.06
Fe 0.1506 0.6165 0.6165  3 C 2.02
Fe 0.6617 0.0000 0.3383  2 C 2.06
Fe 0.0000 0.0000 0.3383  2 C 2.06
Fe 0.8494 0.3835 0.3835  3 C 2.02
Fe 0.3383 0.0000 0.6617  2 C 2.06
Fe 0.6617 0.3383 0.0000  2 C 2.06
Fe 0.3383 0.6617 0.0000  2 C 2.06
Fe 0.6165 0.1506 0.6165  3 C 2.02
Fe 0.6165 0.6165 0.6165  3 C 2.02
Fe 0.3383 0.0000 0.0000  2 C 2.06
Fe 0.3835 0.3835 0.8494  3 C 2.02
Fe 0.0000 0.0000 0.6617  2 C 2.06
Fe 0.3835 0.8494 0.3835  3 C 2.02
Fe 0.0000 0.0000 0.0000  12 Fe 2.46
Fe 0.3835 0.3835 0.3835  3 C 2.02
Fe 0.6165 0.6165 0.1506  3 C 2.02
Fe 0.2500 0.2500 0.2500  4 Fe 2.38
Fe 0.7500 0.7500 0.7500  4 Fe 2.38
Fe 0.0000 0.6617 0.0000  2 C 2.06
Fe 0.0000 0.3383 0.6617  2 C 2.06
Fe 0.0000 0.3383 0.0000  2 C 2.06
Fe 0.0000 0.6617 0.3383  2 C 2.06



Below is NaTiS2 after structural relaxation, with properties calculated at the PBEsol level.

Values from the calculation:
space-group type: P6_3/mmc, No. 194
E_form (uncorrected): -1.378 eV/atom

Cell: 3.4080 3.4080 13.9196 Å, 90.00 90.00 120.00°
With the nearest neighbours (Å) after each atom.
Atoms (fractional coordinates):
Ti 0.0000 0.0000 0.2500  6 S 2.46
Ti 0.0000 0.0000 0.7500  6 S 2.46
S 0.6667 0.3333 0.6434  3 Ti 2.46
S 0.3333 0.6667 0.1434  3 Ti 2.46
S 0.6667 0.3333 0.8566  3 Ti 2.46
S 0.3333 0.6667 0.3566  3 Ti 2.46
Na 0.0000 0.0000 0.0000  6 S 2.80
Na 0.0000 0.0000 0.5000  6 S 2.80



Which formula does entry 2 have?
Pr3Ru